VASP calculation (PBE) on a geometry-optimized BeVFe structure.

```
data_BeVFe
_cell_length_a 3.9054
_cell_length_b 3.9054
_cell_length_c 2.4395
_cell_angle_alpha 90.00
_cell_angle_beta 90.00
_cell_angle_gamma 120.00
_symmetry_space_group_name_H-M 'P 3 m 1'
_symmetry_Int_Tables_number 156
_symmetry_space_group_name_Hall 'P 3 -2"'
loop_
_atom_site_label
_atom_site_type_symbol
_atom_site_fract_x
_atom_site_fract_y
_atom_site_fract_z
Be1 Be 0.0000 0.0000 0.0000
V1 V 0.6667 0.3333 0.4017
Fe1 Fe 0.3333 0.6667 0.6965
```

Values from the calculation:
Relative energy among the computed polymorphs = 17 meV/atom
N(E_F) = 2.31 states/eV/f.u.
E_form = -0.126 eV/atom
Uncorrected energy = -0.2656 hartree per atom

VASP calculation (PBE) on a geometry-optimized Be2VFe2 structure.

```
data_Be2VFe2
_cell_length_a 6.0164
_cell_length_b 6.0164
_cell_length_c 2.6752
_cell_angle_alpha 90.00
_cell_angle_beta 90.00
_cell_angle_gamma 90.00
_symmetry_space_group_name_H-M 'P 4/m b m'
_symmetry_Int_Tables_number 127
_symmetry_space_group_name_Hall '-P 4 2ab'
loop_
_atom_site_label
_atom_site_type_symbol
_atom_site_fract_x
_atom_site_fract_y
_atom_site_fract_z
Be1 Be 0.1201 0.3799 0.0000
V1 V 0.0000 0.0000 0.0000
Fe1 Fe 0.1750 0.6750 0.5000
```

Values from the calculation:
Relative energy among the computed polymorphs = 0 meV/atom
N(E_F) = 2.77 states/eV/f.u.
E_form = -0.151 eV/atom
Uncorrected energy = -0.2517 hartree per atom

VASP calculation (PBE) on a geometry-optimized BeV3Fe structure.

```
data_BeV3Fe
_cell_length_a 4.0689
_cell_length_b 4.0689
_cell_length_c 4.0689
_cell_angle_alpha 90.00
_cell_angle_beta 90.00
_cell_angle_gamma 90.00
_symmetry_space_group_name_H-M 'P m -3 m'
_symmetry_Int_Tables_number 221
_symmetry_space_group_name_Hall '-P 4 2 3'
loop_
_atom_site_label
_atom_site_type_symbol
_atom_site_fract_x
_atom_site_fract_y
_atom_site_fract_z
Be1 Be 0.0000 0.0000 0.0000
V1 V 0.0000 0.0000 0.5000
Fe1 Fe 0.5000 0.5000 0.5000
```

Values from the calculation:
Relative energy among the computed polymorphs = 0 meV/atom
N(E_F) = 5.60 states/eV/f.u.
E_form = 0.757 eV/atom
Uncorrected energy = -0.2628 hartree per atom

VASP calculation (PBE) on a geometry-optimized BeVFe structure.

```
data_BeVFe
_cell_length_a 11.4832
_cell_length_b 2.8122
_cell_length_c 3.9175
_cell_angle_alpha 90.00
_cell_angle_beta 93.37
_cell_angle_gamma 90.00
_symmetry_space_group_name_H-M 'C 1 m 1'
_symmetry_Int_Tables_number 8
_symmetry_space_group_name_Hall 'C -2y'
loop_
_atom_site_label
_atom_site_type_symbol
_atom_site_fract_x
_atom_site_fract_y
_atom_site_fract_z
Be1 Be 0.0000 0.0000 0.0000
Be2 Be 0.1795 0.0000 0.4107
V1 V 0.1657 0.5000 0.9202
V2 V 0.3551 0.5000 0.4577
Fe1 Fe 0.0218 0.5000 0.4908
Fe2 Fe 0.3407 0.0000 0.9554
```

Values from the calculation:
Relative energy among the computed polymorphs = 14 meV/atom
N(E_F) = 2.19 states/eV/f.u.
E_form = -0.128 eV/atom
Uncorrected energy = -0.2657 hartree per atom

VASP calculation (PBE) on a geometry-optimized BeV3Fe4 structure.

```
data_BeV3Fe4
_cell_length_a 2.8345
_cell_length_b 2.8345
_cell_length_c 11.0043
_cell_angle_alpha 90.00
_cell_angle_beta 90.00
_cell_angle_gamma 90.00
_symmetry_space_group_name_H-M 'P 4/m m m'
_symmetry_Int_Tables_number 123
_symmetry_space_group_name_Hall '-P 4 2'
loop_
_atom_site_label
_atom_site_type_symbol
_atom_site_fract_x
_atom_site_fract_y
_atom_site_fract_z
Be1 Be 0.0000 0.0000 0.0000
V1 V 0.0000 0.0000 0.2335
V2 V 0.0000 0.0000 0.5000
Fe1 Fe 0.5000 0.5000 0.1144
Fe2 Fe 0.5000 0.5000 0.3693
```

Values from the calculation:
N(E_F) = 6.18 states/eV/f.u.
E_form = -0.188 eV/atom
Uncorrected energy = -0.3052 hartree per atom

VASP calculation (PBE) on a geometry-optimized Be2V2Fe structure.

```
data_Be2V2Fe
_cell_length_a 5.8509
_cell_length_b 5.8509
_cell_length_c 3.0442
_cell_angle_alpha 90.00
_cell_angle_beta 90.00
_cell_angle_gamma 90.00
_symmetry_space_group_name_H-M 'P 4/m b m'
_symmetry_Int_Tables_number 127
_symmetry_space_group_name_Hall '-P 4 2ab'
loop_
_atom_site_label
_atom_site_type_symbol
_atom_site_fract_x
_atom_site_fract_y
_atom_site_fract_z
Be1 Be 0.1251 0.3749 0.0000
V1 V 0.1734 0.6734 0.5000
Fe1 Fe 0.0000 0.0000 0.0000
```

Values from the calculation:
N(E_F) = 1.14 states/eV/f.u.
E_form = -0.144 eV/atom
Uncorrected energy = -0.2563 hartree per atom

VASP calculation (PBE) on a geometry-optimized Be4VFe structure.

```
data_Be4VFe
_cell_length_a 5.9546
_cell_length_b 5.9546
_cell_length_c 5.9546
_cell_angle_alpha 90.00
_cell_angle_beta 90.00
_cell_angle_gamma 90.00
_symmetry_space_group_name_H-M 'F -4 3 m'
_symmetry_Int_Tables_number 216
_symmetry_space_group_name_Hall 'F -4 2 3'
loop_
_atom_site_label
_atom_site_type_symbol
_atom_site_fract_x
_atom_site_fract_y
_atom_site_fract_z
Be1 Be 0.1253 0.1253 0.1253
V1 V 0.0000 0.0000 0.5000
Fe1 Fe 0.2500 0.2500 0.7500
```

Values from the calculation:
N(E_F) = 2.94 states/eV/f.u.
E_form = -0.297 eV/atom
Uncorrected energy = -0.2099 hartree per atom

VASP calculation (PBE) on a geometry-optimized BeVFe2 structure.

```
data_BeVFe2
_cell_length_a 6.0812
_cell_length_b 6.0812
_cell_length_c 4.9359
_cell_angle_alpha 90.00
_cell_angle_beta 90.00
_cell_angle_gamma 90.00
_symmetry_space_group_name_H-M 'I -4 2 d'
_symmetry_Int_Tables_number 122
_symmetry_space_group_name_Hall 'I -4 2bw'
loop_
_atom_site_label
_atom_site_type_symbol
_atom_site_fract_x
_atom_site_fract_y
_atom_site_fract_z
Be1 Be 0.0000 0.0000 0.0000
V1 V 0.0000 0.0000 0.5000
Fe1 Fe 0.2356 0.7500 0.1250
```

Values from the calculation:
N(E_F) = 4.34 states/eV/f.u.
E_form = 0.405 eV/atom
Uncorrected energy = -0.2586 hartree per atom

VASP calculation (PBE) on a geometry-optimized BeV2Fe structure.

```
data_BeV2Fe
_cell_length_a 6.3876
_cell_length_b 6.3876
_cell_length_c 4.7607
_cell_angle_alpha 90.00
_cell_angle_beta 90.00
_cell_angle_gamma 90.00
_symmetry_space_group_name_H-M 'I -4 2 d'
_symmetry_Int_Tables_number 122
_symmetry_space_group_name_Hall 'I -4 2bw'
loop_
_atom_site_label
_atom_site_type_symbol
_atom_site_fract_x
_atom_site_fract_y
_atom_site_fract_z
Be1 Be 0.0000 0.0000 0.0000
V1 V 0.2261 0.7500 0.6250
Fe1 Fe 0.0000 0.0000 0.5000
```

Values from the calculation:
N(E_F) = 4.79 states/eV/f.u.
E_form = 0.383 eV/atom
Uncorrected energy = -0.2655 hartree per atom

VASP calculation (PBE) on a geometry-optimized Be2VFe structure.

```
data_Be2VFe
_cell_length_a 3.3128
_cell_length_b 3.3128
_cell_length_c 3.6617
_cell_angle_alpha 90.00
_cell_angle_beta 90.00
_cell_angle_gamma 90.00
_symmetry_space_group_name_H-M 'P 4/m m m'
_symmetry_Int_Tables_number 123
_symmetry_space_group_name_Hall '-P 4 2'
loop_
_atom_site_label
_atom_site_type_symbol
_atom_site_fract_x
_atom_site_fract_y
_atom_site_fract_z
Be1 Be 0.0000 0.5000 0.0000
V1 V 0.0000 0.0000 0.5000
Fe1 Fe 0.5000 0.5000 0.5000
```

Values from the calculation:
Relative energy among the computed polymorphs = 31 meV/atom
N(E_F) = 2.57 states/eV/f.u.
E_form = -0.068 eV/atom
Uncorrected energy = -0.2325 hartree per atom

VASP calculation (PBE) on a geometry-optimized BeVFe structure.

```
data_BeVFe
_cell_length_a 3.9010
_cell_length_b 3.9010
_cell_length_c 4.7843
_cell_angle_alpha 90.00
_cell_angle_beta 90.00
_cell_angle_gamma 120.00
_symmetry_space_group_name_H-M 'P 3 m 1'
_symmetry_Int_Tables_number 156
_symmetry_space_group_name_Hall 'P 3 -2"'
loop_
_atom_site_label
_atom_site_type_symbol
_atom_site_fract_x
_atom_site_fract_y
_atom_site_fract_z
Be1 Be 0.0000 0.0000 0.0000
Be2 Be 0.3333 0.6667 0.6158
V1 V 0.0000 0.0000 0.5107
V2 V 0.6667 0.3333 0.2562
Fe1 Fe 0.3333 0.6667 0.1050
Fe2 Fe 0.6667 0.3333 0.7528
```

Values from the calculation:
Relative energy among the computed polymorphs = 55 meV/atom
N(E_F) = 2.75 states/eV/f.u.
E_form = -0.087 eV/atom
Uncorrected energy = -0.2642 hartree per atom

VASP calculation (PBE) on a geometry-optimized BeVFe structure.

```
data_BeVFe
_cell_length_a 3.7615
_cell_length_b 3.7615
_cell_length_c 9.1885
_cell_angle_alpha 90.00
_cell_angle_beta 90.00
_cell_angle_gamma 120.00
_symmetry_space_group_name_H-M 'R 3 m'
_symmetry_Int_Tables_number 160
_symmetry_space_group_name_Hall 'R 3 -2"'
loop_
_atom_site_label
_atom_site_type_symbol
_atom_site_fract_x
_atom_site_fract_y
_atom_site_fract_z
Be1 Be 0.0000 0.0000 0.0000
V1 V 0.0000 0.0000 0.5005
Fe1 Fe 0.0000 0.0000 0.2502
```

Values from the calculation:
Relative energy among the computed polymorphs = 533 meV/atom
N(E_F) = 2.52 states/eV/f.u.
E_form = 0.390 eV/atom
Uncorrected energy = -0.2467 hartree per atom